# 1
Mn6V12Cr after structural relaxation, computed with GGA-PBE.

magnetization: 0.45 μB per formula unit
calculated density: 6.6 g cm⁻³
uncorrected energy: -9.003 eV/atom

Unit cell a=10.2567 b=10.2567 c=8.1832 alpha=90.00 beta=90.00 gamma=120.00
Space group R-3m (No. 166, hexagonal axes)
Asymmetric unit:
1 Mn 0.0000 0.2734 0.0000 (multiplicity 18)
2 V 0.0471 0.5235 0.1333 (multiplicity 18)
3 V 0.0863 0.1727 0.7666 (multiplicity 18)
4 Cr 0.0000 0.0000 0.5000 (multiplicity 3)

=====

# 2
HoScPt2 after structural relaxation, computed with GGA-PBE.

magnetization: 0.00 μB per formula unit
calculated density: 12.6 g cm⁻³
energy above the most stable polymorph in this dataset: 0.0 kJ/mol of atoms
uncorrected energy: -6.978 eV/atom

Unit cell a=5.776 b=4.628 c=6.355 alpha=90.00 beta=111.32 gamma=90.00
Space group P2_1/m (No. 11)
Asymmetric unit:
1 Ho 0.162 0.250 0.387 (multiplicity 2)
2 Sc 0.369 0.750 0.113 (multiplicity 2)
3 Pt 0.118 0.250 0.887 (multiplicity 2)
4 Pt 0.366 0.750 0.692 (multiplicity 2)

=====

Going through the records in order, we get energy of formation values of 0.158 -1.230 eV per atom.